First-principles (PBE) data for CsLa2In2 after structural relaxation, as listed in Alexandria.

Unit cell a=10.359 b=10.359 c=3.452 alpha=90.00 beta=90.00 gamma=90.00
Each line ends with the local moment (μB).
Sites, in units of the cell vectors:
1 In 0.164 0.336 0.000  0.00
2 In 0.336 0.836 0.000  0.00
3 In 0.836 0.664 0.000  0.00
4 In 0.664 0.164 0.000  0.00
5 La 0.129 0.629 0.500  0.09
6 La 0.371 0.129 0.500  0.08
7 Cs 0.000 0.000 0.000  0.00
8 La 0.629 0.871 0.500  0.08
9 La 0.871 0.371 0.500  0.09
10 Cs 0.500 0.500 0.000  0.00

Calculated values
Spin magnetization, μB per cell: 0.7
SG: P4/mbm (127)
DFT total energy, eV/cell: -33.87
Crystal system: tetragonal
Offset from the most stable computed form, kcal/mol of atoms: 0.562
Formation energy, eV/atom: -0.15